Entry 1:
# SrCu3Ge3

A relaxed SrCu3Ge3 crystal (PBE-GGA, the Alexandria database).

Cell lengths 6.7148, 6.7148, 6.7148 Å; angles 90.00, 90.00, 90.00 degrees
Positions (direct):
Sr 0.5000 0.5000 0.5000
Sr 0.0000 0.0000 0.0000
Ge 0.0000 0.2500 0.5000
Ge 0.0000 0.7500 0.5000
Ge 0.5000 0.0000 0.7500
Ge 0.7500 0.5000 0.0000
Ge 0.5000 0.0000 0.2500
Ge 0.2500 0.5000 0.0000
Cu 0.2500 0.0000 0.5000
Cu 0.0000 0.5000 0.2500
Cu 0.5000 0.7500 0.0000
Cu 0.7500 0.0000 0.5000
Cu 0.0000 0.5000 0.7500
Cu 0.5000 0.2500 0.0000

Summary:
- VASP energy (Ry/atom) = -0.2922
- energy above the lowest structure with this stoichiometry (meV/atom) = 36


Entry 2:
# Sr2Cu2Ge

A relaxed Sr2Cu2Ge crystal (PBE-GGA, the Alexandria database).

Cell lengths 7.3466, 7.3466, 4.4746 Å; angles 90.00, 90.00, 90.00 degrees
Positions (direct):
Sr 0.1890 0.6890 0.5000
Sr 0.6890 0.8110 0.5000
Sr 0.8110 0.3110 0.5000
Sr 0.3110 0.1890 0.5000
Ge 0.0000 0.0000 0.0000
Ge 0.5000 0.5000 0.0000
Cu 0.3832 0.8832 0.0000
Cu 0.8832 0.6168 0.0000
Cu 0.6168 0.1168 0.0000
Cu 0.1168 0.3832 0.0000

Summary:
- VASP energy (Ry/atom) = -0.2468